(1)
First-principles (GGA-PBE) data for an optimized crystal structure of Li6AcAg6, as listed in Alexandria.

Cell and atoms, written as POSCAR:
```
Li6AcAg6
1.0
-2.694 4.742 4.781
2.694 -4.742 4.781
2.694 4.742 -4.781
Li Ac Ag
6 1 6
Direct
0.000 0.000 0.500 Li
0.000 0.500 0.000 Li
0.238 0.000 0.238 Li
0.500 0.000 0.000 Li
0.500 0.500 0.500 Li
0.762 0.000 0.762 Li
0.000 0.500 0.500 Ac
0.222 0.222 0.000 Ag
0.349 0.500 0.849 Ag
0.352 0.852 0.500 Ag
0.648 0.148 0.500 Ag
0.651 0.500 0.151 Ag
0.778 0.778 0.000 Ag
```

Calculated values
**Calculated density**: 6.2 g cm⁻³
**Space group**: Immm (71)
**ΔE to the lowest computed polymorph**: 20 kJ/mol of formula units
**DFT formation energy**: -2.001 eV per formula unit
**Total magnetization**: 0.0 Bohr magnetons per cell
**E_tot**: -2.669 eV per atom

(2)
First-principles (GGA-PBE) data for an optimized crystal structure of LiAc2Ag, as listed in Alexandria.

Cell and atoms, written as POSCAR:
```
LiAc2Ag
1.0
1.962 1.133 10.518
-1.962 1.133 10.518
0.000 -2.265 10.518
Li Ac Ag
1 2 1
Direct
0.000 0.000 0.000 Li
0.577 0.577 0.577 Ac
0.758 0.758 0.758 Ac
0.168 0.168 0.168 Ag
```

Calculated values
**Calculated density**: 6.7 g cm⁻³
**Space group**: R3m (160)
**ΔE to the lowest computed polymorph**: 66 kJ/mol of formula units
**DFT formation energy**: 0.311 eV per formula unit
**Total magnetization**: 0.0 Bohr magnetons per cell
**E_tot**: -3.168 eV per atom

(3)
First-principles (GGA-PBE) data for an optimized crystal structure of LiAc2Ag, as listed in Alexandria.

Cell and atoms, written as POSCAR:
```
LiAc2Ag
1.0
4.024 0.000 0.000
0.000 4.024 0.000
0.000 0.000 7.967
Li Ac Ag
1 2 1
Direct
0.000 0.000 0.000 Li
0.500 0.500 0.263 Ac
0.500 0.500 0.737 Ac
0.000 0.000 0.500 Ag
```

Calculated values
**Calculated density**: 7.3 g cm⁻³
**Space group**: P4/mmm (123)
**ΔE to the lowest computed polymorph**: 0 kJ/mol of formula units
**DFT formation energy**: -0.374 eV per formula unit
**Total magnetization**: 0.0 Bohr magnetons per cell
**E_tot**: -3.339 eV per atom